(1)
Here is SrSm2Co after structural relaxation from the Alexandria database. Energies are from PBE.

abc: 3.5240 3.5240 9.9489
angles: 90.00 90.00 90.00
Closest atoms and distances in Å follow each position.
Positions (direct):
Sr  0.0000  0.0000  0.0000  4 Sr 3.52
Sm  0.5000  0.5000  0.3385  4 Co 2.96, 1 Sm 3.21
Sm  0.5000  0.5000  0.6615  4 Co 2.96, 1 Sm 3.21
Co  0.0000  0.0000  0.5000  8 Sm 2.96

For the formation energy, the calculation gives 0.24 eV/f.u. The value obtained for the energy above the most stable polymorph in this dataset is 0 meV per atom. As for the total moment: 0.5 μB per cell. The calculation puts the mass density at 6.0 g/cm³. The calculated total energy comes out at -4.495 eV per atom. Its space group is P4/mmm.

***

(2)
Here is Ho2In8Pd after structural relaxation from the Alexandria database. Energies are from PBE.

abc: 4.6797 4.6797 12.0797
angles: 90.00 90.00 90.00
Closest atoms and distances in Å follow each position.
Positions (direct):
Ho  0.0000  0.0000  0.1886  12 In 3.23-3.31
Ho  0.0000  0.0000  0.8114  12 In 3.23-3.31
In  0.0000  0.5000  0.0000  4 Ho 3.27, 8 In 3.29-3.31
In  0.0000  0.5000  0.3727  2 Pd 2.80, 1 In 3.07
In  0.0000  0.5000  0.6273  2 Pd 2.80, 1 In 3.07
In  0.5000  0.0000  0.0000  4 Ho 3.27, 8 In 3.29-3.31
In  0.5000  0.0000  0.3727  2 Pd 2.80, 1 In 3.07
In  0.5000  0.0000  0.6273  2 Pd 2.80, 1 In 3.07
In  0.5000  0.5000  0.1913  8 In 3.21-3.29, 4 Ho 3.31
In  0.5000  0.5000  0.8087  8 In 3.21-3.29, 4 Ho 3.31
Pd  0.0000  0.0000  0.5000  8 In 2.80

For the formation energy, the calculation gives -4.29 eV/f.u. As for the total moment: 0.0 μB per cell. The calculation puts the mass density at 8.5 g/cm³. The calculated total energy comes out at -3.686 eV per atom. Its space group is P4/mmm.

***

(3)
Here is TbSmO3 after structural relaxation from the Alexandria database. Energies are from PBE.

abc: 6.0437 8.6019 5.7909
angles: 90.00 90.00 90.00
Closest atoms and distances in Å follow each position.
Positions (direct):
Tb  0.0000  0.0000  0.0000  6 O 2.25-2.36
Tb  0.0000  0.5000  0.0000  6 O 2.25-2.36
Tb  0.5000  0.0000  0.5000  6 O 2.25-2.36
Tb  0.5000  0.5000  0.5000  6 O 2.25-2.36
Sm  0.0519  0.2500  0.4786  4 O 2.29-2.45
Sm  0.4481  0.7500  0.9786  4 O 2.29-2.45
Sm  0.5519  0.2500  0.0214  4 O 2.29-2.45
Sm  0.9481  0.7500  0.5214  4 O 2.29-2.45
O  0.0761  0.7500  0.1476  2 Sm 2.30-2.45, 2 Tb 2.36
O  0.1919  0.5797  0.6891  2 Tb 2.25-2.27, 1 Sm 2.29
O  0.1919  0.9203  0.6891  2 Tb 2.25-2.27, 1 Sm 2.29
O  0.3081  0.0797  0.1891  2 Tb 2.25-2.27, 1 Sm 2.29
O  0.3081  0.4203  0.1891  2 Tb 2.25-2.27, 1 Sm 2.29
O  0.4239  0.2500  0.6476  2 Sm 2.30-2.45, 2 Tb 2.36
O  0.5761  0.7500  0.3524  2 Sm 2.30-2.45, 2 Tb 2.36
O  0.6919  0.5797  0.8109  2 Tb 2.25-2.27, 1 Sm 2.29
O  0.6919  0.9203  0.8109  2 Tb 2.25-2.27, 1 Sm 2.29
O  0.8081  0.0797  0.3109  2 Tb 2.25-2.27, 1 Sm 2.29
O  0.8081  0.4203  0.3109  2 Tb 2.25-2.27, 1 Sm 2.29
O  0.9239  0.2500  0.8524  2 Sm 2.30-2.45, 2 Tb 2.36

As for the total moment: 0.0 μB per cell. The calculation puts the mass density at 7.9 g/cm³. The calculated total energy comes out at -8.267 eV per atom. Its space group is Pnma. The uncorrected formation energy comes out at -3.42 eV/atom.

***

(4)
Here is Pu2H2Rh3 after structural relaxation from the Alexandria database. Energies are from PBE.

abc: 3.9426 3.0234 8.9047
angles: 90.00 102.86 90.00
Closest atoms and distances in Å follow each position.
Positions (direct):
Pu  0.1102  0.0000  0.2200  4 H 2.49
Pu  0.8898  0.0000  0.7800  4 H 2.49
H  0.3985  0.5000  0.7972  2 Rh 1.75-1.76
H  0.6015  0.5000  0.2028  2 Rh 1.75-1.76
Rh  0.2974  0.5000  0.5951  1 H 1.75
Rh  0.5000  0.5000  0.0000  2 H 1.76
Rh  0.7026  0.5000  0.4049  1 H 1.75

As for the total moment: 9.8 μB per cell. The calculation puts the mass density at 12.8 g/cm³. The calculated total energy comes out at -8.435 eV per atom. Its space group is P2/m.